# 1
Density functional theory data (PBE-GGA) for a geometry-optimized Cs2TlI5 structure.

a b c (Å): 9.0422 9.0423 8.3156
angles (deg): 122.94 122.94 89.99
Last column: nearest neighbours and their distance in Å.
Positions (direct):
1 Cs 0.2655 0.7655 0.5311  10 I 4.12-4.59
2 Cs 0.7655 0.2655 0.5311  10 I 4.12-4.59
3 Tl 0.9635 0.9635 0.9269  5 I 2.88-3.00
4 I 0.7935 0.2516 0.0451  1 Tl 3.00
5 I 0.2516 0.2516 0.0451  1 Tl 3.00
6 I 0.7935 0.7935 0.0450  1 Tl 3.00
7 I 0.2516 0.7935 0.0451  1 Tl 3.00
8 I 0.6923 0.6923 0.3846  1 Tl 2.88

Computed properties:
SG	I4mm (107)
energy relative to the elements, uncorrected	-916	meV per atom

# 2
Density functional theory data (PBE-GGA) for a geometry-optimized Li2Cd2Hg structure.

a b c (Å): 5.5184 5.8038 7.8224
angles (deg): 111.78 110.65 90.00
Last column: nearest neighbours and their distance in Å.
Positions (direct):
1 Li 0.3196 0.4657 0.6392  2 Cd 2.82-2.85, 2 Hg 2.92
2 Li 0.6804 0.5343 0.3608  2 Cd 2.82-2.85, 2 Hg 2.92
3 Li 0.1804 0.8265 0.3608  2 Cd 2.82-2.85, 2 Hg 2.92
4 Li 0.8196 0.1735 0.6392  2 Cd 2.82-2.85, 2 Hg 2.92
5 Cd 0.8895 0.7789 0.7790  2 Li 2.82-2.85, 2 Hg 3.04, 2 Cd 3.04
6 Cd 0.1105 0.2211 0.2210  2 Li 2.82-2.85, 2 Hg 3.04, 2 Cd 3.04
7 Cd 0.6105 0.9999 0.2210  2 Li 2.82-2.85, 2 Hg 3.04, 2 Cd 3.04
8 Cd 0.3895 0.0001 0.7790  2 Li 2.82-2.85, 2 Hg 3.04, 2 Cd 3.04
9 Hg 0.7500 0.5000 0.0000  2 Hg 2.76, 4 Li 2.92, 4 Cd 3.04
10 Hg 0.2500 0.5000 0.0000  2 Hg 2.76, 4 Li 2.92, 4 Cd 3.04

Computed properties:
polymorph energy (0 for the lowest one)	0.092	eV per atom
D(E_F)	1.25	states/eV/f.u.
SG	Ibam (72)
formation enthalpy at 0 K	-0.14	eV/atom

# 3
Density functional theory data (PBE-GGA) for a geometry-optimized Pr2YSb3Rh4 structure.

a b c (Å): 4.4232 4.4232 11.4271
angles (deg): 90.00 90.00 90.00
Last column: nearest neighbours and their distance in Å.
Positions (direct):
1 Pr 0.5000 0.0000 0.2274  4 Sb 3.32, 8 Rh 3.41-3.45
2 Pr 0.0000 0.5000 0.7726  4 Sb 3.32, 8 Rh 3.41-3.45
3 Y 0.5000 0.5000 0.5000  4 Rh 2.77
4 Sb 0.0000 0.0000 0.5000  4 Rh 2.77
5 Sb 0.5000 0.0000 0.8706  5 Rh 2.57-2.66
6 Sb 0.0000 0.5000 0.1294  5 Rh 2.57-2.66
7 Rh 0.5000 0.5000 0.0000  4 Sb 2.66
8 Rh 0.0000 0.0000 0.0000  4 Sb 2.66
9 Rh 0.5000 0.0000 0.6455  3 Sb 2.57-2.77, 2 Y 2.77
10 Rh 0.0000 0.5000 0.3545  3 Sb 2.57-2.77, 2 Y 2.77

Computed properties:
D(E_F)	8.00	states/eV/f.u.
SG	P-4m2 (115)
energy relative to the elements, uncorrected	-858	meV per atom

# 4
Density functional theory data (PBE-GGA) for a geometry-optimized NaNdSi4 structure.

a b c (Å): 5.3773 5.3773 5.3773
angles (deg): 60.00 60.00 60.00
Last column: nearest neighbours and their distance in Å.
Positions (direct):
1 Na 0.0000 0.0000 0.0000  12 Si 3.15, 4 Nd 3.29
2 Si 0.6282 0.6282 0.1155  6 Si 2.62-2.76
3 Si 0.6282 0.1155 0.6282  6 Si 2.62-2.76
4 Si 0.6282 0.6282 0.6282  6 Si 2.62-2.76
5 Si 0.1155 0.6282 0.6282  6 Si 2.62-2.76
6 Nd 0.2500 0.2500 0.2500  12 Si 3.16, 4 Na 3.29

Computed properties:
D(E_F)	0.04	states/eV/f.u.
SG	F-43m (216)
energy relative to the elements, uncorrected	-188	meV per atom

# 5
Density functional theory data (PBE-GGA) for a geometry-optimized Si2HgSe structure.

a b c (Å): 6.3126 6.3126 7.2564
angles (deg): 126.11 126.11 26.21
Last column: nearest neighbours and their distance in Å.
Positions (direct):
1 Hg 0.2500 0.2500 0.2500  2 Si 2.60, 2 Hg 2.86
2 Se 0.7500 0.7500 0.7500  2 Si 2.57, 2 Se 2.86
3 Si 0.9970 0.9970 0.8823  2 Si 2.43, 1 Se 2.57, 1 Hg 2.60
4 Si 0.5030 0.5030 0.6177  2 Si 2.43, 1 Se 2.57, 1 Hg 2.60

Computed properties:
polymorph energy (0 for the lowest one)	0.158	eV per atom
D(E_F)	0.86	states/eV/f.u.
SG	C2/m (12)
energy relative to the elements, uncorrected	308	meV per atom

# 6
Density functional theory data (PBE-GGA) for a geometry-optimized BaCe2Tm structure.

a b c (Å): 3.5160 3.5160 12.9819
angles (deg): 82.22 82.22 60.00
Last column: nearest neighbours and their distance in Å.
Positions (direct):
1 Tm 0.5000 0.5000 0.5000  6 Ce 3.50, 6 Tm 3.52
2 Ba 0.0000 0.0000 0.0000  6 Ba 3.52, 2 Ce 3.56
3 Ce 0.0926 0.0926 0.7223  3 Tm 3.50, 6 Ce 3.52, 1 Ba 3.56
4 Ce 0.9074 0.9074 0.2777  3 Tm 3.50, 6 Ce 3.52, 1 Ba 3.56

Computed properties:
D(E_F)	11.75	states/eV/f.u.
SG	R-3m (166)
formation enthalpy at 0 K	0.34	eV/atom

# 7
Density functional theory data (PBE-GGA) for a geometry-optimized MnVNi2 structure.

a b c (Å): 4.1068 4.1068 4.1068
angles (deg): 60.00 60.00 60.00
Last column: nearest neighbours and their distance in Å.
Positions (direct):
1 Ni 0.2500 0.2500 0.2500  4 Mn 2.51, 4 V 2.51
2 Ni 0.7500 0.7500 0.7500  4 Mn 2.51, 4 V 2.51
3 Mn 0.5000 0.5000 0.5000  8 Ni 2.51
4 V 0.0000 0.0000 0.0000  8 Ni 2.51

Computed properties:
D(E_F)	4.83	states/eV/f.u.
SG	Fm-3m (225)
formation enthalpy at 0 K	-0.01	eV/atom

# 8
Density functional theory data (PBE-GGA) for a geometry-optimized LiRuNCl2 structure.

a b c (Å): 4.3842 3.7342 4.3842
angles (deg): 90.00 90.00 90.00
Last column: nearest neighbours and their distance in Å.
Positions (direct):
1 Ru 0.5000 0.5000 0.5000  8 Cl 2.88, 4 N 3.10
2 N 0.0000 0.5000 0.0000  2 Li 1.87
3 Li 0.0000 0.0000 0.0000  2 N 1.87
4 Cl 0.0000 0.0000 0.5000  2 Li 2.19
5 Cl 0.5000 0.0000 0.0000  2 Li 2.19

Computed properties:
D(E_F)	5.75	states/eV/f.u.
SG	P4/mmm (123)
energy relative to the elements, uncorrected	1151	meV per atom

For reference, V by record: 54.33; 21.52; 22.36; 18.32; 25.42; 34.32; 12.24; 14.36 Å³/atom.